a) La2Tb8Pm: relaxed, PBE.

Cell: 18.3601 5.1062 8.0671 Å, 90.00 105.34 90.00°
Closest atoms and distances in Å follow each position.
Space group C2/m (No. 12)
One atom of each set of equivalent atoms:
La 0.2274 0.0000 0.1369 [4 per cell]  10 Tb 3.60-3.65, 2 La 3.61
Tb 0.0438 0.0000 0.2269 [4 per cell]  9 Tb 3.57-3.61, 2 Pm 3.60, 1 La 3.63
Tb 0.0893 0.5000 0.9544 [4 per cell]  8 Tb 3.55-3.64, 1 Pm 3.60, 3 La 3.62-3.63
Tb 0.1350 0.0000 0.6766 [4 per cell]  7 Tb 3.57-3.64, 2 Pm 3.58, 3 La 3.63-3.65
Tb 0.1810 0.5000 0.4066 [4 per cell]  8 Tb 3.59-3.63, 1 Pm 3.60, 3 La 3.60-3.62
Pm 0.0000 0.5000 0.5000 [2 per cell]  12 Tb 3.58-3.60

Properties
Size of the total moment = 0.000 μB per atom



b) La2Tb8Pm: relaxed, PBE.

Cell: 19.0503 7.1147 5.6284 Å, 90.00 92.63 90.00°
Closest atoms and distances in Å follow each position.
Space group C2/m (No. 12)
One atom of each set of equivalent atoms:
La 0.2152 0.0000 0.2567 [4 per cell]  9 Tb 3.26-3.62
Tb 0.0441 0.0000 0.2386 [4 per cell]  2 Tb 3.10-3.45, 1 La 3.26
Tb 0.1288 0.2323 0.7354 [8 per cell]  5 Tb 3.31-3.69, 1 Pm 3.49, 3 La 3.53-3.69
Tb 0.1844 0.5000 0.2326 [4 per cell]  4 La 3.38-3.61, 4 Tb 3.51-3.61, 1 Pm 3.69
Pm 0.0000 0.5000 0.0000 [2 per cell]  10 Tb 3.49-3.88

Properties
Size of the total moment = 0.000 μB per atom



Q: Which of them is the least stable? A: b).



a) La2Tb3Pm4: relaxed, PBE.

Cell: 20.0954 3.5720 8.8071 Å, 90.00 99.24 90.00°
Closest atoms and distances in Å follow each position.
Space group C2/m (No. 12)
One atom of each set of equivalent atoms:
La 0.1666 0.0000 0.0397 [4 per cell]  4 La 3.57-3.96, 4 Pm 3.61-3.78, 4 Tb 3.73-3.76
Tb 0.0000 0.5000 0.0000 [2 per cell]  4 Tb 3.54-3.57, 4 Pm 3.58, 4 La 3.76
Tb 0.1056 0.5000 0.3623 [4 per cell]  7 Pm 3.51-3.68, 3 Tb 3.54-3.57, 2 La 3.73
Pm 0.0489 0.0000 0.6839 [4 per cell]  4 Pm 3.51-3.57, 6 Tb 3.55-3.68, 1 La 3.61
Pm 0.2203 0.0000 0.6478 [4 per cell]  5 Pm 3.51-3.57, 3 Tb 3.51-3.60, 3 La 3.73-3.78

Properties
Size of the total moment = 0.000 μB per atom



b) La2Tb3Pm4: relaxed, PBE.

Cell: 3.6465 3.6465 27.1449 Å, 90.00 90.00 120.00°
Closest atoms and distances in Å follow each position.
Space group P3m1 (No. 156)
One atom of each set of equivalent atoms:
La 0.0000 0.0000 0.0000 [1 per cell]  6 La 3.65, 3 Tb 3.67, 3 Pm 3.75
La 0.0000 0.0000 0.2181 [1 per cell]  1 Pm 3.57, 3 Tb 3.59, 6 La 3.65
Tb 0.0000 0.0000 0.7795 [1 per cell]  6 Pm 3.57-3.60, 6 Tb 3.65
Tb 0.3333 0.6667 0.1109 [1 per cell]  6 La 3.59-3.67, 6 Tb 3.65
Tb 0.3333 0.6667 0.4537 [1 per cell]  6 Pm 3.52-3.62, 6 Tb 3.65
Pm 0.0000 0.0000 0.3497 [1 per cell]  3 Tb 3.52, 1 La 3.57, 6 Pm 3.65
Pm 0.0000 0.0000 0.5622 [1 per cell]  3 Tb 3.62, 9 Pm 3.65
Pm 0.3333 0.6667 0.6719 [1 per cell]  3 Tb 3.60, 9 Pm 3.65
Pm 0.3333 0.6667 0.8858 [1 per cell]  3 Tb 3.57, 6 Pm 3.65, 3 La 3.75

Properties
Size of the total moment = 0.000 μB per atom



Q: Which of them is the least stable? A: a).



a) La4TbPm7: relaxed, PBE.

Cell: 6.4211 7.3703 9.2065 Å, 89.94 76.50 89.92°
Closest atoms and distances in Å follow each position.
Space group P-1 (No. 2)
One atom of each set of equivalent atoms:
La 0.2185 0.2526 0.3308 [2 per cell]  8 Pm 3.65-3.73, 1 Tb 3.65, 3 La 3.70-3.72
La 0.2793 0.9994 0.6684 [2 per cell]  8 Pm 3.65-3.75, 4 La 3.68-3.72
Tb 0.5000 0.5000 0.0000 [1 per cell]  10 Pm 3.61-3.70, 2 La 3.65
Pm 0.0010 0.7481 0.0006 [2 per cell]  7 Pm 3.61-3.71, 3 La 3.65-3.66, 2 Tb 3.69-3.70
Pm 0.2220 0.7472 0.3270 [2 per cell]  5 Pm 3.61-3.75, 1 Tb 3.61, 6 La 3.65-3.75
Pm 0.2820 0.5000 0.6712 [2 per cell]  1 Tb 3.62, 6 Pm 3.64-3.75, 5 La 3.68-3.73
Pm 0.5000 0.0000 0.0000 [1 per cell]  6 Pm 3.63-3.71, 4 La 3.65-3.67, 2 Tb 3.69

Properties
Size of the total moment = 0.000 μB per atom



b) La4TbPm7: relaxed, PBE.

Cell: 12.2338 6.1246 13.0927 Å, 90.00 117.26 90.00°
Closest atoms and distances in Å follow each position.
Space group C2/m (No. 12)
One atom of each set of equivalent atoms:
La 0.0547 0.0000 0.3341 [4 per cell]  5 Pm 3.38-3.71, 2 La 3.73
La 0.1385 0.5000 0.7780 [4 per cell]  7 Pm 3.48-3.81, 2 La 3.73
Tb 0.0000 0.5000 0.0000 [2 per cell]  4 Pm 3.06-3.20
Pm 0.0000 0.0000 0.0000 [2 per cell]  2 Tb 3.06, 2 Pm 3.17
Pm 0.1364 0.5000 0.5038 [4 per cell]  2 Pm 3.29-3.32, 5 La 3.38-3.68
Pm 0.2108 0.0000 0.9231 [4 per cell]  4 Pm 3.17-3.55, 1 Tb 3.20, 4 La 3.45-3.50
Pm 0.2402 0.5000 0.3101 [4 per cell]  2 Pm 3.32-3.37

Properties
Size of the total moment = 0.000 μB per atom



Q: Which of them is the least stable? A: b).



a) LaTb12Pm6: relaxed, PBE.

Cell: 13.3441 13.3441 12.6744 Å, 90.00 90.00 120.00°
Closest atoms and distances in Å follow each position.
Space group R-3m (No. 166, hexagonal axes)
One atom of each set of equivalent atoms:
La 0.0000 0.0000 0.0000 [3 per cell]  6 Pm 3.48
Tb 0.0000 0.2581 0.5000 [18 per cell]  6 Tb 3.36-3.55, 4 Pm 3.48-3.58
Tb 0.0915 0.1830 0.2649 [18 per cell]  6 Tb 3.36-3.66, 2 Pm 3.72
Pm 0.0373 0.5187 0.6177 [18 per cell]  1 Pm 3.11, 1 La 3.48

Properties
Size of the total moment = 0.000 μB per atom



b) LaTb12Pm6: relaxed, PBE.

Cell: 12.0698 12.0698 15.2254 Å, 90.00 90.00 120.00°
Closest atoms and distances in Å follow each position.
Space group R-3 (No. 148, hexagonal axes)
One atom of each set of equivalent atoms:
La 0.0000 0.0000 0.0000 [3 per cell]  6 Pm 3.55, 6 Tb 3.58
Tb 0.0150 0.8362 0.1917 [18 per cell]  4 Tb 3.43-3.59, 4 Pm 3.54-3.71, 1 La 3.58
Tb 0.0429 0.8532 0.4161 [18 per cell]  6 Tb 3.29-3.60, 3 Pm 3.34-3.46
Pm 0.0088 0.4202 0.6794 [18 per cell]  7 Tb 3.34-3.71, 1 La 3.55, 2 Pm 3.56

Properties
Size of the total moment = 0.000 μB per atom



Q: Which of them is the least stable? A: a).